OsRu2: relaxed, GGA-PBE.

Cell lengths 7.2430, 7.2430, 4.3234 Å; angles 90.00, 90.00, 158.24 degrees
With the nearest neighbours (Å) after each atom.
Fractional positions:
Os 0.2216 0.7784 0.7500  6 Ru 2.68-2.75, 6 Os 2.68-2.73
Os 0.7784 0.2216 0.2500  6 Ru 2.68-2.75, 6 Os 2.68-2.73
Ru 0.1106 0.8894 0.2500  8 Ru 2.67-2.73, 4 Os 2.68-2.75
Ru 0.4443 0.5557 0.2500  10 Ru 2.67-2.73, 2 Os 2.73
Ru 0.5557 0.4443 0.7500  10 Ru 2.67-2.73, 2 Os 2.73
Ru 0.8894 0.1106 0.7500  8 Ru 2.67-2.73, 4 Os 2.68-2.75

Summary:
Energy of formation in eV per atom: -0.005
Energy relative to the lowest polymorph listed for this composition in eV/atom: 0.005



Sc4Fe: relaxed, GGA-PBE.

Cell lengths 4.8642, 4.8642, 4.8642 Å; angles 90.00, 90.00, 90.00 degrees
With the nearest neighbours (Å) after each atom.
Fractional positions:
Sc 0.0000 0.0000 0.0000  12 Sc 3.44
Sc 0.0000 0.5000 0.5000  2 Fe 2.43
Sc 0.5000 0.0000 0.5000  2 Fe 2.43
Sc 0.5000 0.5000 0.0000  2 Fe 2.43
Fe 0.5000 0.5000 0.5000  6 Sc 2.43

Summary:
Energy of formation in eV per atom: 0.071
Energy relative to the lowest polymorph listed for this composition in eV/atom: 0.000



Y3AlZn: relaxed, GGA-PBE.

Cell lengths 5.3450, 5.3450, 5.3450 Å; angles 90.00, 90.00, 90.00 degrees
With the nearest neighbours (Å) after each atom.
Fractional positions:
Y 0.0000 0.0000 0.5000  2 Zn 2.67
Y 0.0000 0.5000 0.0000  2 Zn 2.67
Y 0.5000 0.0000 0.0000  2 Zn 2.67
Al 0.5000 0.5000 0.5000  12 Y 3.78
Zn 0.0000 0.0000 0.0000  6 Y 2.67

Summary:
Energy of formation in eV per atom: 0.205
Energy relative to the lowest polymorph listed for this composition in eV/atom: 0.519



Ta4CrBr: relaxed, GGA-PBE.

Cell lengths 5.5344, 5.5344, 5.5344 Å; angles 60.00, 60.00, 60.00 degrees
With the nearest neighbours (Å) after each atom.
Fractional positions:
Ta 0.3766 0.3766 0.3766  6 Ta 2.73-2.80
Ta 0.3766 0.3766 0.8703  6 Ta 2.73-2.80
Ta 0.3766 0.8703 0.3766  6 Ta 2.73-2.80
Ta 0.8703 0.3766 0.3766  6 Ta 2.73-2.80
Cr 0.7500 0.7500 0.7500  12 Ta 3.24, 4 Br 3.39
Br 0.0000 0.0000 0.0000  12 Ta 3.25, 4 Cr 3.39

Summary:
Electronic total energy in eV per cell: -53.08



Hf3TaW: relaxed, GGA-PBE.

Cell lengths 4.9731, 4.9731, 4.9731 Å; angles 90.00, 90.00, 90.00 degrees
With the nearest neighbours (Å) after each atom.
Fractional positions:
Hf 0.0000 0.0000 0.5000  2 W 2.49
Hf 0.0000 0.5000 0.0000  2 W 2.49
Hf 0.5000 0.0000 0.0000  2 W 2.49
Ta 0.5000 0.5000 0.5000  12 Hf 3.52
W 0.0000 0.0000 0.0000  6 Hf 2.49

Summary:
Energy of formation in eV per atom: 1.271
Energy relative to the lowest polymorph listed for this composition in eV/atom: 0.000



Na2PS3: relaxed, GGA-PBE.

Cell lengths 6.9773, 6.9773, 13.6405 Å; angles 90.00, 90.00, 118.77 degrees
With the nearest neighbours (Å) after each atom.
Fractional positions:
Na 0.0400 0.9600 0.8360  3 S 2.85-2.95
Na 0.1487 0.8513 0.4216  5 S 2.84-3.00
Na 0.3513 0.6487 0.9216  5 S 2.84-3.00
Na 0.4600 0.5400 0.3360  3 S 2.85-2.95
Na 0.5400 0.4600 0.6640  3 S 2.85-2.95
Na 0.6487 0.3513 0.0784  5 S 2.84-3.00
Na 0.8513 0.1487 0.5784  5 S 2.84-3.00
Na 0.9600 0.0400 0.1640  3 S 2.85-2.95
P 0.2420 0.7580 0.1553  4 S 2.04-2.26
P 0.2580 0.7420 0.6553  4 S 2.04-2.26
P 0.7420 0.2580 0.3447  4 S 2.04-2.26
P 0.7580 0.2420 0.8447  4 S 2.04-2.26
S 0.0531 0.4469 0.7500  2 P 2.26
S 0.0900 0.9100 0.6315  1 P 2.04
S 0.1491 0.8509 0.0296  1 P 2.05
S 0.3509 0.6491 0.5296  1 P 2.05
S 0.4100 0.5900 0.1315  1 P 2.04
S 0.4469 0.0531 0.2500  2 P 2.26
S 0.5531 0.9469 0.7500  2 P 2.26
S 0.5900 0.4100 0.8685  1 P 2.04
S 0.6491 0.3509 0.4704  1 P 2.05
S 0.8509 0.1491 0.9704  1 P 2.05
S 0.9100 0.0900 0.3685  1 P 2.04
S 0.9469 0.5531 0.2500  2 P 2.26

Summary:
Electronic total energy in eV per cell: -97.88



PrEr2UN4: relaxed, GGA-PBE.

Cell lengths 6.0129, 3.4854, 6.0793 Å; angles 90.00, 109.04, 90.00 degrees
With the nearest neighbours (Å) after each atom.
Fractional positions:
Pr 0.0000 0.0000 0.0000  6 N 2.54-2.55
Er 0.5000 0.0000 0.5000  6 N 2.38-2.41
Er 0.5000 0.5000 0.0000  6 N 2.51-2.62
U 0.0000 0.5000 0.5000  6 N 2.30-2.44
N 0.2486 0.5000 0.2807  1 U 2.30, 2 Er 2.41, 2 Pr 2.55
N 0.2506 0.0000 0.7350  3 Er 2.38-2.51, 2 U 2.44, 1 Pr 2.54
N 0.7494 0.0000 0.2650  3 Er 2.38-2.51, 2 U 2.44, 1 Pr 2.54
N 0.7514 0.5000 0.7193  1 U 2.30, 2 Er 2.41, 2 Pr 2.55

Summary:
Electronic total energy in eV per cell: -70.66



Co2NiPt7: relaxed, GGA-PBE.

Cell lengths 7.1965, 7.1965, 4.0669 Å; angles 90.00, 90.00, 120.55 degrees
With the nearest neighbours (Å) after each atom.
Fractional positions:
Co 0.1974 0.8026 0.0000  5 Pt 2.40-2.48
Co 0.8026 0.1974 0.0000  5 Pt 2.40-2.48
Ni 0.5000 0.5000 0.5000  10 Pt 2.50-2.80
Pt 0.0000 0.0000 0.0000  2 Co 2.47, 4 Pt 2.61
Pt 0.2014 0.4202 0.0000  2 Co 2.48-2.77, 5 Pt 2.61-2.74
Pt 0.3000 0.7000 0.5000  2 Co 2.40, 1 Ni 2.50, 4 Pt 2.69
Pt 0.4202 0.2014 0.0000  2 Co 2.48-2.77, 5 Pt 2.61-2.74
Pt 0.5798 0.7986 0.0000  2 Co 2.48-2.77, 5 Pt 2.61-2.74
Pt 0.7000 0.3000 0.5000  2 Co 2.40, 1 Ni 2.50, 4 Pt 2.69
Pt 0.7986 0.5798 0.0000  2 Co 2.48-2.77, 5 Pt 2.61-2.74

Summary:
Energy of formation in eV per atom: 0.460



LaTbPr6: relaxed, GGA-PBE.

Cell lengths 5.2302, 5.2302, 10.4785 Å; angles 90.00, 90.00, 90.00 degrees
With the nearest neighbours (Å) after each atom.
Fractional positions:
La 0.0000 0.0000 0.0000  12 Pr 3.70-3.73
Tb 0.0000 0.0000 0.5000  12 Pr 3.68-3.70
Pr 0.0000 0.5000 0.2534  2 Tb 3.68, 8 Pr 3.68-3.73, 2 La 3.73
Pr 0.0000 0.5000 0.7466  2 Tb 3.68, 8 Pr 3.68-3.73, 2 La 3.73
Pr 0.5000 0.0000 0.2534  2 Tb 3.68, 8 Pr 3.68-3.73, 2 La 3.73
Pr 0.5000 0.0000 0.7466  2 Tb 3.68, 8 Pr 3.68-3.73, 2 La 3.73
Pr 0.5000 0.5000 0.0000  4 La 3.70, 8 Pr 3.73
Pr 0.5000 0.5000 0.5000  8 Pr 3.68, 4 Tb 3.70

Summary:
Energy of formation in eV per atom: 0.014



SrPmCuTe3: relaxed, GGA-PBE.

Cell lengths 9.2759, 4.3933, 9.7837 Å; angles 90.00, 103.19, 90.00 degrees
With the nearest neighbours (Å) after each atom.
Fractional positions:
Sr 0.1833 0.2500 0.2431  7 Te 3.36-3.63, 1 Cu 3.65
Sr 0.8167 0.7500 0.7569  7 Te 3.36-3.63, 1 Cu 3.65
Pm 0.3256 0.7500 0.8333  6 Te 3.09-3.22
Pm 0.6744 0.2500 0.1667  6 Te 3.09-3.22
Cu 0.0785 0.2500 0.5808  4 Te 2.69-2.72, 2 Cu 2.90
Cu 0.9215 0.7500 0.4192  4 Te 2.69-2.72, 2 Cu 2.90
Te 0.0943 0.2500 0.8622  1 Cu 2.72
Te 0.2180 0.7500 0.5105  3 Cu 2.69-2.72
Te 0.4321 0.7500 0.1705  3 Pm 3.15-3.22, 2 Sr 3.38
Te 0.5679 0.2500 0.8295  3 Pm 3.15-3.22, 2 Sr 3.38
Te 0.7820 0.2500 0.4895  3 Cu 2.69-2.72
Te 0.9057 0.7500 0.1378  1 Cu 2.72

Summary:
Electronic total energy in eV per cell: -54.31



CaCr2Rh: relaxed, GGA-PBE.

Cell lengths 4.7389, 4.7389, 5.5793 Å; angles 103.01, 103.01, 37.33 degrees
With the nearest neighbours (Å) after each atom.
Fractional positions:
Ca 0.0000 0.0000 0.0000  3 Rh 2.93, 2 Ca 3.03, 5 Cr 3.14-3.21
Cr 0.2082 0.2082 0.6174  2 Cr 2.42, 2 Rh 2.55
Cr 0.4928 0.4928 0.5041  2 Cr 2.42, 2 Rh 2.62
Rh 0.7632 0.7632 0.2813  4 Cr 2.55-2.62

Summary:
Energy of formation in eV per atom: 0.329
Energy relative to the lowest polymorph listed for this composition in eV/atom: 0.105



Al3FeRu: relaxed, GGA-PBE.

Cell lengths 4.6281, 4.6281, 4.6281 Å; angles 90.00, 90.00, 90.00 degrees
With the nearest neighbours (Å) after each atom.
Fractional positions:
Al 0.0000 0.0000 0.5000  2 Ru 2.31
Al 0.0000 0.5000 0.0000  2 Ru 2.31
Al 0.5000 0.0000 0.0000  2 Ru 2.31
Fe 0.5000 0.5000 0.5000  12 Al 3.27
Ru 0.0000 0.0000 0.0000  6 Al 2.31

Summary:
Energy of formation in eV per atom: 0.414
Energy relative to the lowest polymorph listed for this composition in eV/atom: 0.000



Number 1: total magnetic moment 0.0 μB per formula unit. Number 2: total magnetic moment 0.0 μB per formula unit. Number 3: total magnetic moment 0.0 μB per formula unit. Number 4: total magnetic moment 3.3 μB per formula unit. Number 5: total magnetic moment 0.0 μB per formula unit. Number 6: total magnetic moment 0.0 μB per formula unit. Number 7: total magnetic moment 1.4 μB per formula unit. Number 8: total magnetic moment 6.8 μB per formula unit. Number 9: total magnetic moment 0.0 μB per formula unit. Number 10: total magnetic moment 0.0 μB per formula unit. Number 11: total magnetic moment 0.7 μB per formula unit. Number 12: total magnetic moment 3.3 μB per formula unit.